[1]
Below is a geometry-optimized K3Rb5Na3 structure, with properties calculated at the PBE level.

space group	P-62m, No. 189
formation energy	68	meV per atom
V	73.5	Å³/atom

```
K3Rb5Na3
1.0
-2.0703 3.9834 -0.3147
-12.5749 -6.7030 -2.1180
4.2579 3.2693 13.3689
K Rb Na
3 5 3
Direct
0.0000 0.6266 0.0000
0.0000 0.0000 0.6266
0.0000 0.3734 0.3734
0.5000 0.6667 0.3333
0.5000 0.3333 0.6667
0.5000 0.3281 0.0000
0.5000 0.6719 0.6719
0.5000 0.0000 0.3281
0.5000 0.8585 0.0000
0.5000 0.1415 0.1415
0.5000 0.0000 0.8585
```

[2]
Below is a geometry-optimized K9Rb6Na structure, with properties calculated at the PBE level.

space group	I4/m, No. 87
formation energy	27	meV per atom
V	77.4	Å³/atom

```
K9Rb6Na
1.0
10.3824 0.0000 -5.7481
-3.1824 9.8826 -5.7481
-0.0522 -0.0716 12.1563
K Rb Na
9 6 1
Direct
0.9935 0.7877 0.3336
0.3401 0.5459 0.3336
0.7877 0.3401 0.3336
0.5459 0.9935 0.3336
0.0065 0.2123 0.6664
0.6599 0.4541 0.6664
0.2123 0.6599 0.6664
0.4541 0.0065 0.6664
0.5000 0.5000 0.0000
0.6813 0.8746 0.0000
0.3187 0.1254 0.0000
0.8746 0.3187 0.0000
0.1254 0.6813 0.0000
0.7797 0.7797 0.5593
0.2203 0.2203 0.4407
0.0000 0.0000 0.0000
```

[3]
Below is a geometry-optimized K6RbNa5 structure, with properties calculated at the PBE level.

space group	C2/m, No. 12
formation energy	29	meV per atom
V	56.8	Å³/atom

```
K6RbNa5
1.0
-3.4892 -2.1336 -12.0088
4.3939 -1.7606 -4.5088
0.6476 -10.0911 -0.1677
K Rb Na
6 1 5
Direct
0.7338 0.0941 0.3438
0.2662 0.5621 0.3438
0.2720 0.2285 0.0000
0.7280 0.7715 0.0000
0.7338 0.4379 0.6562
0.2662 0.9059 0.6562
0.0000 0.0000 0.0000
0.5000 0.1648 0.6704
0.0000 0.3268 0.3463
0.5000 0.5000 0.0000
0.0000 0.6732 0.6537
0.5000 0.8352 0.3296
```

[4]
Below is a geometry-optimized K7Rb12Na structure, with properties calculated at the PBE level.

space group	R-3, No. 148
relative energy among the computed polymorphs	0.000	eV per formula unit
formation energy	12	meV per atom
V	81.7	Å³/atom

```
K7Rb12Na
1.0
11.8347 0.0899 -2.7985
-3.5570 11.2879 -2.7985
0.0654 0.0899 12.1609
K Rb Na
7 12 1
Direct
0.3112 0.9125 0.9189
0.0811 0.6888 0.0875
0.0875 0.0811 0.6888
0.5000 0.5000 0.5000
0.9125 0.9189 0.3112
0.9189 0.3112 0.9125
0.6888 0.0875 0.0811
0.7607 0.2373 0.4949
0.5051 0.2393 0.7627
0.9217 0.6675 0.6762
0.3238 0.0783 0.3325
0.7627 0.5051 0.2393
0.3325 0.3238 0.0783
0.6675 0.6762 0.9217
0.2373 0.4949 0.7607
0.6762 0.9217 0.6675
0.0783 0.3325 0.3238
0.4949 0.7607 0.2373
0.2393 0.7627 0.5051
0.0000 0.0000 0.0000
```

[5]
Below is a geometry-optimized K6Rb10Na structure, with properties calculated at the PBE level.

space group	P-31m, No. 162
formation energy	32	meV per atom
V	82.8	Å³/atom

```
K6Rb10Na
1.0
-1.2211 2.9664 8.5315
-11.5119 -6.7332 0.6935
11.4095 -5.8847 3.6791
K Rb Na
6 10 1
Direct
0.7259 0.3920 0.3920
0.7259 0.0000 0.6080
0.7259 0.6080 0.0000
0.2741 0.6080 0.6080
0.2741 0.0000 0.3920
0.2741 0.3920 0.0000
0.7759 0.7477 0.7477
0.7759 0.0000 0.2523
0.7759 0.2523 0.0000
0.2241 0.2523 0.2523
0.2241 0.0000 0.7477
0.2241 0.7477 0.0000
0.5000 0.3333 0.6667
0.5000 0.6667 0.3333
0.0000 0.6667 0.3333
0.0000 0.3333 0.6667
0.5000 0.0000 0.0000
```

[6]
Below is a geometry-optimized K7Rb2Na3 structure, with properties calculated at the PBE level.

space group	P2/m, No. 10
formation energy	32	meV per atom
V	66.1	Å³/atom

```
K7Rb2Na3
1.0
4.4563 0.0000 0.0000
0.0000 7.7295 0.4020
0.0000 -0.0151 23.0296
K Rb Na
7 2 3
Direct
0.5000 0.7430 0.5458
0.5000 0.2570 0.4542
0.0000 0.6245 0.1518
0.0000 0.0000 0.0000
0.0000 0.3755 0.8482
0.5000 0.8644 0.8347
0.5000 0.1356 0.1653
0.5000 0.7797 0.3358
0.5000 0.2203 0.6642
0.5000 0.5000 0.0000
0.0000 0.2941 0.3032
0.0000 0.7059 0.6968
```